Compound: KSbRuI2
Source: Alexandria via LeMat-Bulk
Functional: PBE
Structure: optimized geometry

Cell: 5.7979 5.7979 4.9883 Å, 90.00 90.00 90.00°
Last column: nearest neighbours and their distance in Å.
Sites, in units of the cell vectors:
K 0.0000 0.0000 0.0000  8 I 3.82, 4 Sb 4.10
Sb 0.5000 0.5000 0.0000  2 Ru 2.49
Ru 0.5000 0.5000 0.5000  2 Sb 2.49
I 0.0000 0.5000 0.5000  2 Ru 2.90
I 0.5000 0.0000 0.5000  2 Ru 2.90

## Properties
calculated volume: 33.5 A^3/atom
energy relative to the lowest polymorph listed for this composition: 0 meV/atom
energy relative to the elements, uncorrected: -165 meV/atom
SG: P4/mmm, No. 123